Record 1
DFT (PBE-GGA) results for TbHo2Sc after structural relaxation.

Computed properties:
Uncorrected energy (Ha/atom): -0.1833
D(E_F) (states/eV/atom): 1.559
M_tot (μB per cell): 0.00
Excess energy over the best structure of this formula in the dataset (meV per atom): 13.0
V (Å³ per atom): 29.478

a = 4.9162 Å, b = 4.8974 Å, c = 4.8974 Å
α = 90.00°, β = 90.00°, γ = 90.00°
With the nearest neighbours (Å) after each atom.
Sites, in units of the cell vectors:
Sc  0.5000  0.0000  0.0000  4 Tb 3.46, 8 Ho 3.47
Ho  0.0000  0.5000  0.0000  4 Ho 3.46, 4 Tb 3.47, 4 Sc 3.47
Ho  0.0000  0.0000  0.5000  4 Ho 3.46, 4 Tb 3.47, 4 Sc 3.47
Tb  0.5000  0.5000  0.5000  4 Sc 3.46, 8 Ho 3.47

***

Record 2
DFT (PBE-GGA) results for Cs4NaU3O12 after structural relaxation.

Computed properties:
Uncorrected energy (Ha/atom): -0.2753
D(E_F) (states/eV/atom): 0.676
M_tot (μB per cell): 0.70
V (Å³ per atom): 18.120
Uncorrected formation energy (eV per atom): -2.5854

a = 7.7793 Å, b = 7.7793 Å, c = 7.7793 Å
α = 109.47°, β = 109.47°, γ = 109.47°
With the nearest neighbours (Å) after each atom.
Sites, in units of the cell vectors:
O  0.7122  0.0000  0.7122  1 U 1.91
Na  0.0000  0.0000  0.0000  6 O 2.59
O  0.7500  0.2500  0.5000  2 U 2.25
O  0.2500  0.5000  0.7500  2 U 2.25
Cs  0.5000  0.0000  0.0000  12 O 3.18-3.19
O  0.2878  0.2878  0.0000  1 U 1.91
Cs  0.0000  0.0000  0.5000  12 O 3.18-3.19
O  0.7122  0.7122  0.0000  1 U 1.91
O  0.5000  0.7500  0.2500  2 U 2.25
O  0.7500  0.5000  0.2500  2 U 2.25
Cs  0.5000  0.5000  0.5000  12 O 3.18-3.19
U  0.5000  0.5000  0.0000  2 O 1.91
O  0.2878  0.0000  0.2878  1 U 1.91
Cs  0.0000  0.5000  0.0000  12 O 3.18-3.19
U  0.5000  0.0000  0.5000  2 O 1.91
O  0.5000  0.2500  0.7500  2 U 2.25
O  0.0000  0.2878  0.2878  1 U 1.91
O  0.2500  0.7500  0.5000  2 U 2.25
O  0.0000  0.7122  0.7122  1 U 1.91
U  0.0000  0.5000  0.5000  2 O 1.91

***

Record 3
DFT (PBE-GGA) results for DyTm2Pd8 after structural relaxation.

Computed properties:
Uncorrected energy (Ha/atom): -0.2133
D(E_F) (states/eV/atom): 0.452
M_tot (μB per cell): 0.00
V (Å³ per atom): 17.928

a = 4.1836 Å, b = 6.7256 Å, c = 7.6747 Å
α = 107.63°, β = 105.82°, γ = 90.00°
With the nearest neighbours (Å) after each atom.
Sites, in units of the cell vectors:
Pd  0.4070  0.5469  0.8141  8 Pd 2.84-3.02, 3 Tm 2.86-3.14, 1 Dy 2.92
Tm  0.7819  0.3339  0.5638  9 Pd 2.79-3.08
Pd  0.8574  0.8156  0.7148  3 Tm 2.88-3.08, 7 Pd 2.91-3.03, 2 Dy 2.95
Pd  0.1426  0.1844  0.2852  3 Tm 2.88-3.08, 7 Pd 2.91-3.03, 2 Dy 2.95
Tm  0.2181  0.6661  0.4362  9 Pd 2.79-3.08
Pd  0.0381  0.7174  0.0763  9 Pd 2.78-3.03, 1 Tm 2.79, 2 Dy 3.00
Pd  0.9619  0.2826  0.9237  9 Pd 2.78-3.03, 1 Tm 2.79, 2 Dy 3.00
Pd  0.5930  0.4531  0.1859  8 Pd 2.84-3.02, 3 Tm 2.86-3.14, 1 Dy 2.92
Dy  0.5000  0.0000  0.0000  12 Pd 2.88-3.00
Pd  0.6778  0.9080  0.3557  3 Tm 2.79-2.83, 1 Dy 2.88, 8 Pd 2.91-2.96
Pd  0.3222  0.0920  0.6443  3 Tm 2.79-2.83, 1 Dy 2.88, 8 Pd 2.91-2.96

***

Record 4
DFT (PBE-GGA) results for Ba3Pm after structural relaxation.

Computed properties:
Uncorrected energy (Ha/atom): -0.0897
D(E_F) (states/eV/atom): 1.618
M_tot (μB per cell): 0.00
Excess energy over the best structure of this formula in the dataset (meV per atom): 0.0
V (Å³ per atom): 51.985

a = 4.2371 Å, b = 7.1868 Å, c = 8.0020 Å
α = 116.68°, β = 105.35°, γ = 90.00°
With the nearest neighbours (Å) after each atom.
Sites, in units of the cell vectors:
Ba  0.5000  0.4857  0.0000  4 Pm 4.16-4.19, 8 Ba 4.16-4.28
Ba  0.2620  0.6084  0.5240  3 Pm 4.01-4.41, 9 Ba 4.16-4.28
Ba  0.7380  0.0844  0.4760  3 Pm 4.01-4.41, 9 Ba 4.16-4.28
Pm  0.0000  0.9881  0.0000  10 Ba 4.01-4.41, 2 Pm 4.24

***

Record 5
DFT (PBE-GGA) results for DyLuSc after structural relaxation.

Computed properties:
Uncorrected energy (Ha/atom): -0.1864
D(E_F) (states/eV/atom): 1.971
M_tot (μB per cell): 0.01
Excess energy over the best structure of this formula in the dataset (meV per atom): 32.6
V (Å³ per atom): 28.263

a = 3.3412 Å, b = 5.4132 Å, c = 5.4132 Å
α = 120.00°, β = 90.00°, γ = 90.00°
With the nearest neighbours (Å) after each atom.
Sites, in units of the cell vectors:
Sc  0.1677  0.3333  0.6667  3 Lu 3.13, 2 Sc 3.34
Dy  0.6666  0.6667  0.3333  2 Dy 3.34, 6 Sc 3.54-3.55, 6 Lu 3.54-3.55
Lu  0.1657  0.0000  0.0000  3 Sc 3.13, 2 Lu 3.34

***

Record 6
DFT (PBE-GGA) results for MgIr2Au after structural relaxation.

Computed properties:
Uncorrected energy (Ha/atom): -0.1976
D(E_F) (states/eV/atom): 1.253
M_tot (μB per cell): 0.00
V (Å³ per atom): 17.178

a = 3.7744 Å, b = 3.7744 Å, c = 10.0087 Å
α = 79.13°, β = 79.13°, γ = 90.00°
With the nearest neighbours (Å) after each atom.
Sites, in units of the cell vectors:
Ir  0.8750  0.8711  0.7500  4 Ir 2.65-2.69, 2 Mg 2.75, 2 Au 2.76
Ir  0.3750  0.3789  0.7500  4 Ir 2.65-2.69, 2 Mg 2.75, 2 Au 2.76
Ir  0.1289  0.6250  0.2500  4 Ir 2.65-2.69, 2 Mg 2.75, 2 Au 2.76
Mg  0.5000  0.5000  0.0000  4 Au 2.67, 4 Ir 2.75
Ir  0.6211  0.1250  0.2500  4 Ir 2.65-2.69, 2 Mg 2.75, 2 Au 2.76
Mg  0.2500  0.7500  0.5000  4 Au 2.67, 4 Ir 2.75
Au  0.7500  0.2500  0.5000  4 Mg 2.67, 4 Ir 2.76
Au  0.0000  0.0000  0.0000  4 Mg 2.67, 4 Ir 2.76

***

- The highest V belongs to which entry?
  Ba3Pm